[1]
Material: Ac2ReIr
Method: DFT, PBE-GGA
State: optimized geometry

Lattice parameters (Å, degrees): 4.1635 4.1635 9.8873 77.85 77.85 60.00
Last column: nearest neighbours and their distance in Å.
Sites, in units of the cell vectors:
Ac (0.8930, 0.8930, 0.3209)  3 Ir 2.95, 1 Re 3.08
Ac (0.1070, 0.1070, 0.6791)  3 Ir 2.95, 1 Re 3.08
Re (0.0000, 0.0000, 0.0000)  2 Ac 3.08
Ir (0.5000, 0.5000, 0.5000)  6 Ac 2.95

Output
Its space-group type is R-3m.

[2]
Material: Ac2IrRh3
Method: DFT, PBE-GGA
State: optimized geometry

Lattice parameters (Å, degrees): 4.5956 5.4060 6.5351 114.43 110.59 90.00
Last column: nearest neighbours and their distance in Å.
Sites, in units of the cell vectors:
Ac (0.3188, 0.8188, 0.6375)  4 Rh 2.79-3.04
Ac (0.6812, 0.1812, 0.3625)  4 Rh 2.79-3.04
Rh (0.6198, 0.6198, 0.2396)  1 Rh 2.63, 2 Ir 2.65, 2 Ac 2.79
Rh (0.0000, 0.0000, 0.0000)  2 Ir 2.70
Rh (0.3802, 0.3802, 0.7604)  1 Rh 2.63, 2 Ir 2.65, 2 Ac 2.79
Ir (0.0000, 0.5000, 0.0000)  6 Rh 2.65-2.70

Output
The calculation puts the energy relative to the lowest polymorph listed for this composition at 0.414 eV per atom. Its space-group type is Immm.

[3]
Material: Ac7IrRh4
Method: DFT, PBE-GGA
State: optimized geometry

Lattice parameters (Å, degrees): 4.2371 7.3710 12.9846 105.05 90.00 106.70
Last column: nearest neighbours and their distance in Å.
Sites, in units of the cell vectors:
Ac (0.2622, 0.5245, 0.6391)  2 Ir 3.00, 1 Rh 3.01
Ac (0.4985, 0.9969, 0.4990)  2 Ir 2.98, 2 Rh 2.99
Ac (0.3441, 0.6881, 0.9474)  5 Rh 3.00-3.29
Ac (0.0391, 0.0781, 0.7858)  3 Rh 2.98-3.01, 1 Ir 3.00
Ac (0.7386, 0.4772, 0.3600)  1 Ir 2.99, 2 Rh 3.01
Ac (0.9609, 0.9218, 0.2139)  4 Rh 2.97-3.00
Ac (0.6565, 0.3129, 0.0525)  5 Rh 3.00-3.24
Rh (0.0002, 0.0005, 0.0004)  6 Ac 2.97-3.00
Rh (0.1133, 0.2267, 0.4232)  6 Ac 2.98-3.01
Rh (0.6961, 0.3922, 0.8180)  5 Ac 3.01-3.24
Rh (0.3056, 0.6112, 0.1862)  5 Ac 3.00-3.29
Ir (0.8850, 0.7699, 0.5745)  6 Ac 2.98-3.00

Output
Its space-group type is Cm.

[4]
Material: Ac3IrRh8
Method: DFT, PBE-GGA
State: optimized geometry

Lattice parameters (Å, degrees): 5.4738 5.4738 9.5361 73.32 73.32 60.00
Last column: nearest neighbours and their distance in Å.
Sites, in units of the cell vectors:
Rh (0.0568, 0.5608, 0.3256)  1 Ir 2.65, 6 Rh 2.72-2.80
Rh (0.0611, 0.5617, 0.8156)  6 Rh 2.68-2.78
Rh (0.8085, 0.8085, 0.5744)  6 Rh 2.68-2.73
Rh (0.3102, 0.3102, 0.0693)  6 Rh 2.78-2.80
Rh (0.5617, 0.0611, 0.8156)  6 Rh 2.68-2.78
Rh (0.5608, 0.0568, 0.3256)  1 Ir 2.65, 6 Rh 2.72-2.80
Rh (0.5617, 0.5617, 0.8156)  6 Rh 2.68-2.78
Rh (0.0568, 0.0568, 0.3256)  1 Ir 2.65, 6 Rh 2.72-2.80
Ac (0.6221, 0.6221, 0.1337)  12 Rh 3.21-3.27, 4 Ac 3.53-3.56
Ac (0.4901, 0.4901, 0.5298)  12 Rh 3.02-3.30, 3 Ir 3.17
Ac (0.0141, 0.0141, 0.9577)  9 Rh 3.02-3.32
Ir (0.1462, 0.1462, 0.5614)  3 Rh 2.65

Output
Its space-group type is R3m.

| no. | calculated density (g/cm3) | electronic total energy (eV/atom) |
| --- | --- | --- |
| 1 | 9.601 | -6.2950 |
| 2 | 11.630 | -6.6800 |
| 3 | 9.739 | -6.2155 |
| 4 | 12.066 | -6.9558 |